Entry 1:
The following is a DFT calculation (GGA-PBE) of a relaxed AcSi2Ni2 crystal.

Polymorph energy (0 for the lowest one): 0.00 eV per formula unit
ΔE_f (raw): -702.0 meV per atom
Final energy: -6.005 eV per atom
Space-group type: C2/c

Geometry as POSCAR:
```
AcSi2Ni2
1.0
2.907 -5.956 0.000
2.907 5.956 0.000
-2.408 0.000 5.091
Ac Si Ni
2 4 4
direct
0.112 0.888 0.750
0.888 0.112 0.250
0.223 0.500 0.878
0.500 0.223 0.378
0.500 0.777 0.622
0.777 0.500 0.122
0.250 0.750 0.250
0.474 0.526 0.250
0.526 0.474 0.750
0.750 0.250 0.750
```



Entry 2:
The following is a DFT calculation (GGA-PBE) of a relaxed Ac3Si2Ni4 crystal.

ΔE_f (raw): -488.8 meV per atom
Final energy: -5.633 eV per atom
Space-group type: C2/m

Geometry as POSCAR:
```
Ac3Si2Ni4
1.0
5.710 -2.052 0.000
5.710 2.052 0.000
-1.263 0.000 8.370
Ac Si Ni
3 2 4
direct
0.000 0.000 0.000
0.335 0.335 0.329
0.665 0.665 0.671
0.389 0.389 0.718
0.611 0.611 0.282
0.058 0.058 0.385
0.281 0.281 0.933
0.719 0.719 0.067
0.942 0.942 0.615
```



Entry 3:
The following is a DFT calculation (GGA-PBE) of a relaxed Ac3Si2Ni9 crystal.

ΔE_f (raw): -372.9 meV per atom
Final energy: -5.745 eV per atom
Space-group type: Immm

Geometry as POSCAR:
```
Ac3Si2Ni9
1.0
-1.983 5.038 6.040
1.983 -5.038 6.040
1.983 5.038 -6.040
Ac Si Ni
3 2 9
direct
0.000 0.000 0.000
0.308 0.308 0.000
0.692 0.692 0.000
0.263 0.500 0.763
0.737 0.500 0.237
0.008 0.308 0.700
0.182 0.898 0.285
0.387 0.102 0.285
0.393 0.692 0.700
0.500 0.000 0.500
0.607 0.308 0.300
0.613 0.898 0.715
0.818 0.102 0.715
0.992 0.692 0.300
```



Entry 4:
The following is a DFT calculation (GGA-PBE) of a relaxed Ac3Si2Ni crystal.

ΔE_f (raw): -525.1 meV per atom
Final energy: -5.350 eV per atom
Space-group type: Pnma

Geometry as POSCAR:
```
Ac3Si2Ni
1.0
12.321 0.000 0.000
0.000 4.424 0.000
0.000 0.000 12.422
Ac Si Ni
12 8 4
direct
0.062 0.250 0.125
0.114 0.750 0.556
0.210 0.250 0.806
0.290 0.750 0.306
0.386 0.250 0.056
0.438 0.750 0.625
0.562 0.250 0.375
0.614 0.750 0.944
0.710 0.250 0.694
0.790 0.750 0.194
0.886 0.250 0.444
0.938 0.750 0.875
0.036 0.750 0.316
0.203 0.750 0.989
0.297 0.250 0.489
0.464 0.250 0.816
0.536 0.750 0.184
0.703 0.750 0.511
0.797 0.250 0.011
0.964 0.250 0.684
0.128 0.250 0.366
0.372 0.750 0.866
0.628 0.250 0.134
0.872 0.750 0.634
```



Entry 5:
The following is a DFT calculation (GGA-PBE) of a relaxed AcSi4Ni6 crystal.

ΔE_f (raw): -394.0 meV per atom
Final energy: -5.893 eV per atom
Space-group type: Cm

Geometry as POSCAR:
```
AcSi4Ni6
1.0
4.066 -4.497 0.000
4.066 4.497 0.000
-4.057 0.000 4.502
Ac Si Ni
1 4 6
direct
0.000 0.000 0.000
0.131 0.528 0.001
0.472 0.472 0.603
0.528 0.131 0.001
0.870 0.870 0.397
0.002 0.502 0.501
0.240 0.240 0.703
0.462 0.760 0.001
0.502 0.002 0.501
0.539 0.539 0.299
0.760 0.462 0.001
```



Entry 6:
The following is a DFT calculation (GGA-PBE) of a relaxed AcSi2Ni3 crystal.

Polymorph energy (0 for the lowest one): 0.39 eV per formula unit
ΔE_f (raw): -526.2 meV per atom
Final energy: -5.909 eV per atom
Space-group type: P6/mmm

Geometry as POSCAR:
```
AcSi2Ni3
1.0
5.548 0.000 0.000
-2.774 4.804 0.000
0.000 0.000 3.556
Ac Si Ni
1 2 3
direct
0.000 0.000 0.000
0.333 0.667 0.000
0.667 0.333 0.000
0.000 0.500 0.500
0.500 0.000 0.500
0.500 0.500 0.500
```



Entry 7:
The following is a DFT calculation (GGA-PBE) of a relaxed AcSi5Ni2 crystal.

ΔE_f (raw): -325.5 meV per atom
Final energy: -5.674 eV per atom
Space-group type: Immm

Geometry as POSCAR:
```
AcSi5Ni2
1.0
-1.958 3.257 5.260
1.958 -3.257 5.260
1.958 3.257 -5.260
Ac Si Ni
1 5 2
direct
0.000 0.000 0.000
0.137 0.335 0.803
0.468 0.665 0.803
0.500 0.000 0.500
0.532 0.335 0.197
0.863 0.665 0.197
0.287 0.787 0.500
0.713 0.213 0.500
```



Entry 8:
The following is a DFT calculation (GGA-PBE) of a relaxed Ac2SiNi3 crystal.

ΔE_f (raw): -426.4 meV per atom
Final energy: -5.590 eV per atom
Space-group type: Fmmm

Geometry as POSCAR:
```
Ac2SiNi3
1.0
0.000 4.329 7.163
4.168 0.000 7.163
4.168 4.329 0.000
Ac Si Ni
4 2 6
direct
0.240 0.760 0.240
0.250 0.250 0.250
0.750 0.750 0.750
0.760 0.240 0.760
0.335 0.335 0.665
0.665 0.665 0.335
0.171 0.171 0.829
0.172 0.657 0.828
0.343 0.828 0.657
0.657 0.172 0.343
0.828 0.343 0.172
0.829 0.829 0.171
```



Entry 9:
The following is a DFT calculation (GGA-PBE) of a relaxed AcSi4Ni2 crystal.

ΔE_f (raw): -461.6 meV per atom
Final energy: -5.799 eV per atom
Space-group type: Pnma

Geometry as POSCAR:
```
AcSi4Ni2
1.0
16.648 0.000 0.000
0.000 4.067 0.000
0.000 0.000 6.751
Ac Si Ni
4 16 8
direct
0.113 0.250 0.003
0.387 0.750 0.503
0.613 0.250 0.497
0.887 0.750 0.997
0.035 0.750 0.707
0.090 0.250 0.500
0.189 0.750 0.337
0.206 0.750 0.721
0.294 0.250 0.221
0.311 0.250 0.837
0.410 0.750 0.000
0.465 0.250 0.207
0.535 0.750 0.793
0.590 0.250 0.000
0.689 0.750 0.163
0.706 0.750 0.779
0.794 0.250 0.279
0.811 0.250 0.663
0.910 0.750 0.500
0.965 0.250 0.293
0.042 0.750 0.345
0.226 0.250 0.541
0.274 0.750 0.041
0.458 0.250 0.845
0.542 0.750 0.155
0.726 0.250 0.959
0.774 0.750 0.459
0.958 0.250 0.655
```



Entry 10:
The following is a DFT calculation (GGA-PBE) of a relaxed AcSi2Ni3 crystal.

Polymorph energy (0 for the lowest one): 0.00 eV per formula unit
ΔE_f (raw): -590.4 meV per atom
Final energy: -5.973 eV per atom
Space-group type: C2/m

Geometry as POSCAR:
```
AcSi2Ni3
1.0
7.569 -1.964 0.000
7.569 1.964 0.000
-2.879 0.000 6.577
Ac Si Ni
2 4 6
direct
0.156 0.156 0.071
0.844 0.844 0.929
0.178 0.178 0.633
0.479 0.479 0.804
0.521 0.521 0.196
0.822 0.822 0.367
0.033 0.033 0.365
0.317 0.317 0.561
0.413 0.413 0.352
0.587 0.587 0.648
0.683 0.683 0.439
0.967 0.967 0.635
```



Entry 11:
The following is a DFT calculation (GGA-PBE) of a relaxed SrAcSiNi crystal.

ΔE_f (raw): -431.2 meV per atom
Final energy: -4.680 eV per atom
Space-group type: Cm

Geometry as POSCAR:
```
SrAcSiNi
1.0
3.613 -2.086 0.000
3.613 2.086 0.000
-2.421 0.000 8.105
Sr Ac Si Ni
1 1 1 1
direct
0.000 0.000 0.000
0.830 0.830 0.493
0.247 0.247 0.743
0.578 0.578 0.735
```



Entry 12:
The following is a DFT calculation (GGA-PBE) of a relaxed AcTbSi2Ni2 crystal.

ΔE_f (raw): -704.9 meV per atom
Final energy: -5.896 eV per atom
Space-group type: P-3m1

Geometry as POSCAR:
```
AcTbSi2Ni2
1.0
4.049 0.000 0.000
-2.025 3.507 0.000
0.000 0.000 8.522
Ac Tb Si Ni
1 1 2 2
direct
0.000 0.000 0.000
0.000 0.000 0.500
0.333 0.667 0.271
0.667 0.333 0.729
0.333 0.667 0.728
0.667 0.333 0.272
```



Entry 13:
The following is a DFT calculation (GGA-PBE) of a relaxed AcTbSiNi crystal.

ΔE_f (raw): -289.0 meV per atom
Final energy: -5.275 eV per atom
Space-group type: F-43m

Geometry as POSCAR:
```
AcTbSiNi
1.0
0.000 3.640 3.640
3.640 0.000 3.640
3.640 3.640 0.000
Ac Tb Si Ni
1 1 1 1
direct
0.000 0.000 0.000
0.500 0.500 0.500
0.250 0.250 0.250
0.750 0.750 0.750
```



Entry 14:
The following is a DFT calculation (GGA-PBE) of a relaxed Ac2Si2TcNi crystal.

ΔE_f (raw): -582.3 meV per atom
Final energy: -6.451 eV per atom
Space-group type: Ibam

Geometry as POSCAR:
```
Ac2Si2TcNi
1.0
-2.955 7.626 3.070
2.955 -7.626 3.070
2.955 7.626 -3.070
Ac Si Tc Ni
4 4 2 2
direct
0.156 0.249 0.405
0.344 0.749 0.094
0.656 0.251 0.906
0.844 0.751 0.595
0.076 0.758 0.834
0.424 0.258 0.682
0.576 0.742 0.318
0.924 0.242 0.166
0.250 0.750 0.500
0.750 0.250 0.500
0.250 0.250 0.000
0.750 0.750 0.000
```



Entry 15:
The following is a DFT calculation (GGA-PBE) of a relaxed Ac2ThSi3Ni12 crystal.

ΔE_f (raw): 1.1 meV per atom
Final energy: -5.626 eV per atom
Space-group type: R-3m

Geometry as POSCAR:
```
Ac2ThSi3Ni12
1.0
3.763 2.173 6.427
-3.763 2.173 6.427
0.000 -4.345 6.427
Ac Th Si Ni
2 1 3 12
direct
0.102 0.102 0.102
0.898 0.898 0.898
0.500 0.500 0.500
0.000 0.500 0.500
0.500 0.000 0.500
0.500 0.500 0.000
0.047 0.650 0.650
0.151 0.151 0.611
0.151 0.611 0.151
0.350 0.350 0.953
0.350 0.953 0.350
0.389 0.849 0.849
0.611 0.151 0.151
0.650 0.047 0.650
0.650 0.650 0.047
0.849 0.389 0.849
0.849 0.849 0.389
0.953 0.350 0.350
```



Entry 16:
The following is a DFT calculation (GGA-PBE) of a relaxed AcYSiNi crystal.

ΔE_f (raw): -295.7 meV per atom
Final energy: -5.740 eV per atom
Space-group type: F-43m

Geometry as POSCAR:
```
AcYSiNi
1.0
0.000 3.638 3.638
3.638 0.000 3.638
3.638 3.638 0.000
Ac Y Si Ni
1 1 1 1
direct
0.000 0.000 0.000
0.500 0.500 0.500
0.750 0.750 0.750
0.250 0.250 0.250
```



Entry 17:
The following is a DFT calculation (GGA-PBE) of a relaxed Ac3Zn2Si2Ni4 crystal.

ΔE_f (raw): -364.7 meV per atom
Final energy: -4.805 eV per atom
Space-group type: P-3m1

Geometry as POSCAR:
```
Ac3Zn2Si2Ni4
1.0
4.140 0.000 0.000
-2.070 3.585 0.000
0.000 0.000 15.809
Ac Zn Si Ni
3 2 2 4
direct
0.000 0.000 0.000
0.000 0.000 0.284
0.000 0.000 0.716
0.333 0.667 0.556
0.667 0.333 0.444
0.333 0.667 0.140
0.667 0.333 0.860
0.333 0.667 0.401
0.333 0.667 0.854
0.667 0.333 0.146
0.667 0.333 0.599
```



Entry 18:
The following is a DFT calculation (GGA-PBE) of a relaxed AcZn2SiNi4 crystal.

ΔE_f (raw): -331.6 meV per atom
Final energy: -4.732 eV per atom
Space-group type: R-3m

Geometry as POSCAR:
```
AcZn2SiNi4
1.0
2.032 1.173 8.666
-2.032 1.173 8.666
0.000 -2.347 8.666
Ac Zn Si Ni
1 2 1 4
direct
0.000 0.000 0.000
0.236 0.236 0.236
0.764 0.764 0.764
0.500 0.500 0.500
0.137 0.137 0.137
0.413 0.413 0.413
0.587 0.587 0.587
0.863 0.863 0.863
```



Entry 19:
The following is a DFT calculation (GGA-PBE) of a relaxed Ac2ZnSiNi6 crystal.

ΔE_f (raw): -336.8 meV per atom
Final energy: -5.297 eV per atom
Space-group type: C2/m

Geometry as POSCAR:
```
Ac2ZnSiNi6
1.0
5.301 -3.051 0.000
5.301 3.051 0.000
-3.558 0.000 5.469
Ac Zn Si Ni
2 1 1 6
direct
0.217 0.217 0.150
0.783 0.783 0.850
0.500 0.500 0.000
0.000 0.000 0.500
0.246 0.246 0.634
0.246 0.645 0.636
0.355 0.754 0.364
0.645 0.246 0.636
0.754 0.355 0.364
0.754 0.754 0.366
```



Entry 20:
The following is a DFT calculation (GGA-PBE) of a relaxed Ac2ZnSi4Ni3 crystal.

ΔE_f (raw): -615.6 meV per atom
Final energy: -5.468 eV per atom
Space-group type: P-4m2

Geometry as POSCAR:
```
Ac2ZnSi4Ni3
1.0
4.221 0.000 0.000
0.000 4.221 0.000
0.000 0.000 9.989
Ac Zn Si Ni
2 1 4 3
direct
0.000 0.500 0.246
0.500 0.000 0.754
0.000 0.000 0.500
0.000 0.000 0.000
0.000 0.500 0.634
0.500 0.000 0.366
0.500 0.500 0.000
0.000 0.500 0.886
0.500 0.000 0.114
0.500 0.500 0.500
```



Entry 21:
The following is a DFT calculation (GGA-PBE) of a relaxed Ac2SmNi3 crystal.

Final energy: -5.281 eV per atom
Space-group type: Cmcm
E_form: -0.23 eV per atom

Geometry as POSCAR:
```
Ac2SmNi3
1.0
7.035 -4.091 0.000
7.035 4.091 0.000
0.000 0.000 5.149
Ac Sm Ni
4 2 6
direct
0.014 0.667 0.750
0.333 0.986 0.750
0.667 0.014 0.250
0.986 0.333 0.250
0.348 0.652 0.250
0.652 0.348 0.750
0.000 0.000 0.000
0.000 0.000 0.500
0.338 0.338 0.000
0.338 0.338 0.500
0.662 0.662 0.000
0.662 0.662 0.500
```